(1)
DFT (GGA-PBE) results for a geometry-optimized BeCu2Re structure.

a = 2.646 Å, b = 2.646 Å, c = 6.600 Å
α = 90.00°, β = 90.00°, γ = 90.00°
Atoms (fractional coordinates):
1 Cu 0.000 0.000 0.545
2 Cu 0.000 0.000 0.955
3 Be 0.500 0.500 0.750
4 Re 0.500 0.500 0.250

Total magnetization: 0.00 μB per cell
Formation enthalpy at 0 K: 114 meV per atom
Space-group type: P4/mmm (123)


(2)
DFT (GGA-PBE) results for a geometry-optimized Be2CuRe structure.

a = 3.915 Å, b = 3.915 Å, c = 3.915 Å
α = 60.00°, β = 60.00°, γ = 60.00°
Atoms (fractional coordinates):
1 Re 0.500 0.500 0.500
2 Be 0.750 0.750 0.750
3 Be 0.250 0.250 0.250
4 Cu 0.000 0.000 0.000

Offset from the most stable computed form: 17.8 kJ/mol of atoms
Total magnetization: 0.00 μB per cell
Formation enthalpy at 0 K: 129 meV per atom
Space-group type: Fm-3m (225)


(3)
DFT (GGA-PBE) results for a geometry-optimized Be2CuRe structure.

a = 2.554 Å, b = 2.554 Å, c = 7.073 Å
α = 90.00°, β = 90.00°, γ = 103.36°
Atoms (fractional coordinates):
1 Re 0.500 0.500 0.750
2 Cu 0.500 0.500 0.250
3 Be 0.000 0.000 0.490
4 Be 0.000 0.000 0.010

Offset from the most stable computed form: 8.8 kJ/mol of atoms
Total magnetization: 0.00 μB per cell
Formation enthalpy at 0 K: 36 meV per atom
Space-group type: Cmmm (65)


(4)
DFT (GGA-PBE) results for a geometry-optimized BeCu2Re structure.

a = 4.660 Å, b = 4.660 Å, c = 4.660 Å
α = 136.33°, β = 136.33°, γ = 63.47°
Last column: magnetic moment on the atom in μB.
Atoms (fractional coordinates):
1 Be 0.750 0.250 0.500  0.00
2 Cu 0.000 0.000 0.000  0.07
3 Cu 0.500 0.500 0.000  0.07
4 Re 0.250 0.750 0.500  0.37

Total magnetization: 0.57 μB per cell
Formation enthalpy at 0 K: 331 meV per atom
Space-group type: I4/mmm (139)